# 1
BeIrSe4 | PBE | relaxed

abc: 7.760 7.760 7.760
angles: 90.00 90.00 90.00
Space group F-43m (No. 216)
Symmetry-distinct sites (fractional):
1 Be 0.000 0.000 0.000 (multiplicity 4)
2 Ir 0.250 0.250 0.750 (multiplicity 4)
3 Se 0.125 0.125 0.375 (multiplicity 16)

Output
Energy relative to the elements, uncorrected in eV per atom: 1.3373
DFT total energy in eV/atom: -3.084
Density of states at the Fermi level in states/eV/cell: 26.939



# 2
Fe2Se | PBE | relaxed

abc: 4.987 4.987 7.228
angles: 90.00 90.00 90.00
Space group I4/mcm (No. 140)
Symmetry-distinct sites (fractional):
1 Fe 0.194 0.306 0.000 (multiplicity 8)
2 Se 0.000 0.000 0.250 (multiplicity 4)

Output
Energy relative to the elements, uncorrected in eV per atom: 0.2576
DFT total energy in eV/atom: -6.546
Density of states at the Fermi level in states/eV/cell: 14.173
Energy relative to the lowest polymorph listed for this composition in meV per atom: 399



# 3
CdH2Ru | PBE | relaxed

abc: 3.0552 3.0552 14.7260
angles: 90.00 90.00 120.00
Space group R-3m (No. 166, hexagonal axes)
Symmetry-distinct sites (fractional):
1 Cd 0.0000 0.0000 0.0000 (multiplicity 3)
2 H 0.0000 0.0000 0.2057 (multiplicity 6)
3 Ru 0.0000 0.0000 0.5000 (multiplicity 3)

Output
DFT total energy in eV/atom: -4.103
Density of states at the Fermi level in states/eV/cell: 2.536
Energy relative to the lowest polymorph listed for this composition in meV per atom: 0



# 4
InP2Br | PBE | relaxed

abc: 3.296 3.296 9.199
angles: 90.00 90.00 90.00
Space group P4mm (No. 99)
Symmetry-distinct sites (fractional):
1 In 0.000 0.000 0.000 (multiplicity 1)
2 P 0.000 0.000 0.401 (multiplicity 1)
3 P 0.500 0.500 0.338 (multiplicity 1)
4 Br 0.500 0.500 0.789 (multiplicity 1)

Output
Energy relative to the elements, uncorrected in eV per atom: 0.1152
DFT total energy in eV/atom: -3.693
Density of states at the Fermi level in states/eV/cell: 2.473
Energy relative to the lowest polymorph listed for this composition in meV per atom: 225



# 5
Fe2PbAu | PBE | relaxed

abc: 9.229 3.134 5.356
angles: 90.00 107.25 90.00
Space group C2/m (No. 12)
Symmetry-distinct sites (fractional):
1 Fe 0.249 0.000 0.172 (multiplicity 4)
2 Pb 0.000 0.000 0.500 (multiplicity 2)
3 Au 0.000 0.500 0.000 (multiplicity 2)

Output
Formation enthalpy at 0 K in kJ/mol of atoms: 37.9
DFT total energy in eV/atom: -5.585
Density of states at the Fermi level in states/eV/cell: 4.614



# 6
Mg2Al2CuPt5 | PBE | relaxed

abc: 9.390 9.390 3.624
angles: 90.00 90.00 90.00
Space group P4/mbm (No. 127)
Symmetry-distinct sites (fractional):
1 Mg 0.171 0.329 0.000 (multiplicity 4)
2 Al 0.130 0.630 0.000 (multiplicity 4)
3 Cu 0.000 0.000 0.000 (multiplicity 2)
4 Pt 0.000 0.500 0.500 (multiplicity 2)
5 Pt 0.074 0.802 0.500 (multiplicity 8)

Output
Formation enthalpy at 0 K in kJ/mol of atoms: -67.7
DFT total energy in eV/atom: -5.199
Density of states at the Fermi level in states/eV/cell: 5.017



# 7
Zr2ZnP | PBE | relaxed

abc: 4.310 4.310 7.694
angles: 90.00 90.00 90.00
Space group I4/mmm (No. 139)
Symmetry-distinct sites (fractional):
1 Zr 0.000 0.500 0.250 (multiplicity 4)
2 Zn 0.000 0.000 0.000 (multiplicity 2)
3 P 0.000 0.000 0.500 (multiplicity 2)

Output
Formation enthalpy at 0 K in kJ/mol of atoms: -49.5
DFT total energy in eV/atom: -6.458
Density of states at the Fermi level in states/eV/cell: 5.194



# 8
SmZn3Rh | PBE | relaxed

abc: 4.957 8.002 9.446
angles: 90.00 90.00 90.00
Space group Imma (No. 74)
Symmetry-distinct sites (fractional):
1 Sm 0.000 0.250 0.010 (multiplicity 4)
2 Zn 0.000 0.250 0.676 (multiplicity 4)
3 Zn 0.250 0.023 0.250 (multiplicity 8)
4 Rh 0.000 0.000 0.500 (multiplicity 4)

Output
Formation enthalpy at 0 K in kJ/mol of atoms: -32.1
DFT total energy in eV/atom: -3.511
Density of states at the Fermi level in states/eV/cell: 9.124



# 9
ScAg2Pb | PBE | relaxed

abc: 6.007 10.667 3.119
angles: 90.00 118.78 90.00
Space group C2/m (No. 12)
Symmetry-distinct sites (fractional):
1 Sc 0.000 0.000 0.000 (multiplicity 2)
2 Ag 0.250 0.250 0.500 (multiplicity 4)
3 Pb 0.000 0.500 0.000 (multiplicity 2)

Output
Formation enthalpy at 0 K in kJ/mol of atoms: -2.7
DFT total energy in eV/atom: -3.963
Density of states at the Fermi level in states/eV/cell: 5.361



# 10
CePm5Ho4 | PBE | relaxed

abc: 17.890 3.501 10.972
angles: 90.00 106.77 90.00
Space group C2/m (No. 12)
Symmetry-distinct sites (fractional):
1 Ce 0.000 0.000 0.000 (multiplicity 2)
2 Pm 0.000 0.000 0.500 (multiplicity 2)
3 Pm 0.104 0.500 0.283 (multiplicity 4)
4 Pm 0.206 0.500 0.601 (multiplicity 4)
5 Ho 0.094 0.500 0.812 (multiplicity 4)
6 Ho 0.196 0.000 0.081 (multiplicity 4)

Output
Formation enthalpy at 0 K in kJ/mol of atoms: 10.2
DFT total energy in eV/atom: -4.694
Density of states at the Fermi level in states/eV/cell: 34.948



# 11
La2NiHPb | PBE | relaxed

abc: 5.476 5.476 3.768
angles: 90.00 90.00 90.00
Space group P4/mmm (No. 123)
Symmetry-distinct sites (fractional):
1 La 0.000 0.500 0.000 (multiplicity 2)
2 Ni 0.000 0.000 0.500 (multiplicity 1)
3 H 0.000 0.000 0.000 (multiplicity 1)
4 Pb 0.500 0.500 0.500 (multiplicity 1)

Output
DFT total energy in eV/atom: -4.879
Density of states at the Fermi level in states/eV/cell: 3.607



# 12
CaBe2Cu | PBE | relaxed

abc: 4.391 4.391 6.266
angles: 90.00 90.00 90.00
Space group I-4m2 (No. 119)
Symmetry-distinct sites (fractional):
1 Ca 0.000 0.000 0.000 (multiplicity 2)
2 Be 0.000 0.000 0.500 (multiplicity 2)
3 Be 0.000 0.500 0.750 (multiplicity 2)
4 Cu 0.000 0.500 0.250 (multiplicity 2)

Output
Formation enthalpy at 0 K in kJ/mol of atoms: 41.9
DFT total energy in eV/atom: -2.954
Density of states at the Fermi level in states/eV/cell: 5.023
Energy relative to the lowest polymorph listed for this composition in meV per atom: 457



# 13
LiSn2I5 | PBE | relaxed

abc: 6.334 14.339 15.385
angles: 90.00 90.00 90.00
Space group Cmcm (No. 63)
Symmetry-distinct sites (fractional):
1 Li 0.000 0.235 0.250 (multiplicity 4)
2 Sn 0.000 0.146 0.560 (multiplicity 8)
3 I 0.000 0.055 0.124 (multiplicity 8)
4 I 0.000 0.248 0.750 (multiplicity 4)
5 I 0.000 0.336 0.080 (multiplicity 8)

Output
Energy relative to the elements, uncorrected in eV per atom: -0.6296
DFT total energy in eV/atom: -2.838



# 14
Zr2SbPb | PBE | relaxed

abc: 3.335 5.243 5.737
angles: 90.00 106.09 90.00
Space group Pm (No. 6)
Symmetry-distinct sites (fractional):
1 Zr 0.000 0.000 0.000 (multiplicity 1)
2 Zr 0.231 0.500 0.494 (multiplicity 1)
3 Sb 0.715 0.000 0.456 (multiplicity 1)
4 Pb 0.513 0.500 0.026 (multiplicity 1)

Output
Energy relative to the elements, uncorrected in eV per atom: -0.2728
DFT total energy in eV/atom: -6.505
Density of states at the Fermi level in states/eV/cell: 2.937
Energy relative to the lowest polymorph listed for this composition in meV per atom: 71



# 15
LaNd2Zr | PBE | relaxed

abc: 6.127 3.533 11.893
angles: 90.00 99.90 90.00
Space group Cm (No. 8)
Symmetry-distinct sites (fractional):
1 La 0.000 0.000 0.000 (multiplicity 2)
2 Nd 0.240 0.000 0.726 (multiplicity 2)
3 Nd 0.421 0.000 0.269 (multiplicity 2)
4 Zr 0.332 0.500 0.497 (multiplicity 2)

Output
Formation enthalpy at 0 K in kJ/mol of atoms: 12.0
DFT total energy in eV/atom: -5.628
Density of states at the Fermi level in states/eV/cell: 9.454
Energy relative to the lowest polymorph listed for this composition in meV per atom: 0